[1]
Material: KRu2Rh
Method: DFT, meta-GGA SCAN
State: single point on PBEsol structure

Cell: 2.673 4.785 10.225 Å, 90.00 90.00 90.00°
Space group Immm (No. 71)
Unique sites:
K 0.000 0.000 0.000 (multiplicity 2)
Ru 0.000 0.500 0.217 (multiplicity 4)
Rh 0.000 0.000 0.500 (multiplicity 2)

Output
Total DFT energy (no corrections), eV per atom: -27.029
Distance to the lowest polymorph of the same formula, eV/atom: 0.127
Calculated formation energy, kJ/mol of atoms: 88
Total moment, μB per atom: 0.000
N(E_F), states/eV/f.u.: 3.26

=====

[2]
Material: ZrIn
Method: DFT, meta-GGA SCAN
State: single point on PBEsol structure

Cell: 3.107 3.107 4.380 Å, 90.00 90.00 90.00°
Space group P4/mmm (No. 123)
Unique sites:
Zr 0.000 0.000 0.000 (multiplicity 1)
In 0.500 0.500 0.500 (multiplicity 1)

Output
Total DFT energy (no corrections), eV per atom: -32.518
Calculated formation energy, kJ/mol of atoms: -46
Total moment, μB per atom: 0.000
N(E_F), states/eV/f.u.: 1.16

=====

[3]
Material: RbMgOF2
Method: DFT, meta-GGA SCAN
State: single point on PBEsol structure

Cell: 4.046 4.046 4.179 Å, 90.00 90.00 90.00°
Space group P4/mmm (No. 123)
Unique sites:
Rb 0.000 0.000 0.000 (multiplicity 1)
Mg 0.500 0.500 0.500 (multiplicity 1)
O 0.500 0.500 0.000 (multiplicity 1)
F 0.000 0.500 0.500 (multiplicity 2)

Output
Total DFT energy (no corrections), eV per atom: -10.464
Uncorrected formation energy, meV per atom: -2659
Total moment, μB per atom: 0.200
N(E_F), states/eV/f.u.: 3.14

=====

[4]
Material: ScTc2Ru
Method: DFT, meta-GGA SCAN
State: single point on PBEsol structure

Cell: 2.723 2.723 8.180 Å, 90.00 90.00 90.00°
Space group P4/mmm (No. 123)
Unique sites:
Sc 0.000 0.000 0.000 (multiplicity 1)
Tc 0.500 0.500 0.276 (multiplicity 2)
Ru 0.000 0.000 0.500 (multiplicity 1)

Output
Total DFT energy (no corrections), eV per atom: -29.757
Distance to the lowest polymorph of the same formula, eV/atom: 0.204
Calculated formation energy, kJ/mol of atoms: 4
Total moment, μB per atom: 0.000
N(E_F), states/eV/f.u.: 2.55

=====

[5]
Material: ZnIrOF2
Method: DFT, meta-GGA SCAN
State: single point on PBEsol structure

Cell: 4.345 4.345 3.673 Å, 90.00 90.00 90.00°
Space group P4/mmm (No. 123)
Unique sites:
Zn 0.000 0.000 0.000 (multiplicity 1)
Ir 0.500 0.500 0.500 (multiplicity 1)
O 0.500 0.500 0.000 (multiplicity 1)
F 0.000 0.500 0.500 (multiplicity 2)

Output
Total DFT energy (no corrections), eV per atom: -20.166
Uncorrected formation energy, meV per atom: -581
Total moment, μB per atom: 0.111
N(E_F), states/eV/f.u.: 2.56

=====

[6]
Material: BeZnTe2N
Method: DFT, meta-GGA SCAN
State: single point on PBEsol structure

Cell: 5.344 5.344 3.109 Å, 90.00 90.00 90.00°
Space group P4/mmm (No. 123)
Unique sites:
Be 0.000 0.000 0.000 (multiplicity 1)
Zn 0.500 0.500 0.500 (multiplicity 1)
Te 0.000 0.500 0.000 (multiplicity 2)
N 0.000 0.000 0.500 (multiplicity 1)

Output
Total DFT energy (no corrections), eV per atom: -19.968
Uncorrected formation energy, meV per atom: 365
Total moment, μB per atom: 0.000
N(E_F), states/eV/f.u.: 2.65

=====

[7]
Material: SmInRh2
Method: DFT, meta-GGA SCAN
State: single point on PBEsol structure

Cell: 6.610 6.610 6.610 Å, 90.00 90.00 90.00°
Space group Fm-3m (No. 225)
Unique sites:
Sm 0.000 0.000 0.000 (multiplicity 4)
In 0.000 0.000 0.500 (multiplicity 4)
Rh 0.250 0.250 0.250 (multiplicity 8)

Output
Total DFT energy (no corrections), eV per atom: -37.078
Calculated formation energy, kJ/mol of atoms: -71
Total moment, μB per atom: 0.000
N(E_F), states/eV/f.u.: 0.90

=====

[8]
Material: Zn3IO
Method: DFT, meta-GGA SCAN
State: single point on PBEsol structure

Cell: 4.467 4.467 4.467 Å, 90.00 90.00 90.00°
Space group Pm-3m (No. 221)
Unique sites:
Zn 0.000 0.000 0.500 (multiplicity 3)
I 0.500 0.500 0.500 (multiplicity 1)
O 0.000 0.000 0.000 (multiplicity 1)

Output
Total DFT energy (no corrections), eV per atom: -16.615
Uncorrected formation energy, meV per atom: 88
Total moment, μB per atom: 0.000
N(E_F), states/eV/f.u.: 2.33